No. 1
Computed, not measured: a relaxed structure of LaY2Zr at the PBE-GGA level of DFT.

* E_form: 98 meV per atom
* E above lowest polymorph: 0.0226 eV/atom

POSCAR file:
```
LaY2Zr
1.0
1.742 1.006 11.573
-1.742 1.006 11.573
0.000 -2.011 11.573
La Y Zr
1 2 1
Cartesian
0.000 0.000 0.000
0.000 0.000 8.446
0.000 0.000 26.271
0.000 0.000 17.359
```



No. 2
Computed, not measured: a relaxed structure of K2Sb2Pt at the PBE-GGA level of DFT.

* E_form (uncorrected): -0.3010 eV/atom

POSCAR file:
```
K2Sb2Pt
1.0
-2.387 2.387 15.474
2.387 -2.387 15.474
2.387 2.387 -15.474
K Sb Pt
4 4 2
Cartesian
2.387 1.194 -6.305
0.000 1.194 1.432
2.387 1.194 14.042
0.000 1.194 21.779
2.387 1.194 -2.757
0.000 1.194 4.980
2.387 1.194 10.494
0.000 1.194 18.231
2.387 1.194 3.869
0.000 1.194 11.606
```



No. 3
Computed, not measured: a relaxed structure of KNaCN2 at the PBE-GGA level of DFT.

* E_form (uncorrected): -0.4232 eV/atom

POSCAR file:
```
KNaCN2
1.0
5.862 0.000 0.000
0.000 4.408 0.000
-1.144 0.000 6.883
K Na C N
2 2 2 4
Cartesian
-0.286 0.744 1.721
-0.858 3.664 5.162
2.073 2.069 5.162
2.645 2.339 1.721
2.931 0.000 0.000
2.359 0.000 3.441
0.809 0.772 6.825
1.381 3.636 3.384
3.338 0.772 3.499
3.910 3.636 0.058
```



No. 4
Computed, not measured: a relaxed structure of PmIn4Bi at the PBE-GGA level of DFT.

* E_form: -136 meV per atom

POSCAR file:
```
PmIn4Bi
1.0
0.000 4.361 4.361
4.361 0.000 4.361
4.361 4.361 0.000
Pm In Bi
1 4 1
Cartesian
0.000 0.000 0.000
5.451 3.270 3.270
3.270 5.451 3.270
3.270 3.270 5.451
5.451 5.451 5.451
2.180 2.180 2.180
```



No. 5
Computed, not measured: a relaxed structure of GaCu2Se at the PBE-GGA level of DFT.

* E_form (uncorrected): 0.1485 eV/atom

POSCAR file:
```
GaCu2Se
1.0
-2.898 2.898 5.078
2.898 -2.898 5.078
2.898 2.898 -5.078
Ga Cu Se
2 4 2
Cartesian
0.000 0.000 0.000
0.000 2.898 2.539
1.449 -1.322 3.808
1.577 1.449 1.269
1.449 4.220 -1.269
1.322 1.449 6.347
2.898 0.000 2.539
0.000 0.000 5.078
```



No. 6
Computed, not measured: a relaxed structure of Sr9U9O34 at the PBE-GGA level of DFT.

* E_form (uncorrected): -3.2514 eV/atom

POSCAR file:
```
Sr9U9O34
1.0
7.792 0.000 0.000
-1.439 8.653 0.000
-0.044 -2.825 11.596
Sr U O
9 9 34
Cartesian
0.000 0.000 0.000
-0.044 -1.741 7.713
-0.001 -0.898 3.797
2.090 1.388 6.389
2.097 2.351 2.513
2.104 0.386 10.295
4.222 5.512 1.260
4.249 3.627 8.893
4.279 4.503 5.164
0.261 5.430 1.217
0.334 3.550 9.082
0.374 4.572 4.991
2.418 5.836 11.442
2.442 7.685 3.932
3.989 -1.749 7.735
5.914 1.341 6.389
5.988 0.473 10.242
6.103 2.337 2.569
-1.180 5.764 5.416
-1.178 4.849 9.242
-0.265 -0.785 10.113
-0.199 0.302 6.061
-0.091 1.157 2.276
-0.065 1.915 10.648
0.006 3.842 2.842
0.344 3.652 6.928
0.729 4.245 11.287
0.769 6.201 3.358
2.272 -0.725 7.977
2.346 1.193 0.277
2.343 0.302 4.044
1.920 2.371 8.777
1.969 3.392 4.744
1.974 4.420 0.975
1.869 6.003 5.806
1.881 5.216 9.047
2.433 7.656 1.776
4.243 -0.224 6.035
4.307 -1.142 9.931
4.300 2.483 6.666
4.421 3.382 2.845
4.400 1.631 10.454
4.002 4.661 11.109
4.026 6.476 3.713
4.145 5.718 7.429
5.378 1.326 0.787
5.445 0.656 3.877
5.735 -0.217 8.060
6.266 3.850 0.832
6.432 2.933 4.872
6.424 2.171 8.439
6.449 6.606 1.517
```



No. 7
Computed, not measured: a relaxed structure of Tl2SiSb at the PBE-GGA level of DFT.

* E_form (uncorrected): 0.2200 eV/atom
* E above lowest polymorph: 0.0687 eV/atom

POSCAR file:
```
Tl2SiSb
1.0
3.253 0.000 0.000
0.000 3.986 0.000
-1.432 0.000 8.653
Tl Si Sb
2 1 1
Cartesian
0.000 0.000 0.000
0.079 1.993 6.002
1.701 0.000 4.179
1.676 1.993 2.368
```



No. 8
Computed, not measured: a relaxed structure of La2PtO2 at the PBE-GGA level of DFT.

* E_form (uncorrected): -2.0251 eV/atom
* E above lowest polymorph: 0.5573 eV/atom

POSCAR file:
```
La2PtO2
1.0
7.439 0.000 0.000
0.000 7.439 0.000
0.000 0.000 3.168
La Pt O
4 2 4
Cartesian
1.190 2.529 0.000
2.529 6.249 0.000
4.910 1.190 0.000
6.249 4.910 0.000
0.000 0.000 0.000
3.720 3.720 0.000
0.954 4.674 1.584
2.765 0.954 1.584
4.674 6.485 1.584
6.485 2.765 1.584
```